RbZnPO2 | PBE | relaxed

The total moment is 0.000 Bohr magnetons per cell. The uncorrected formation energy comes out at -0.435 eV per atom. The uncorrected energy comes out at -19.74 eV for the cell shown. The calculation puts the density of states at the Fermi level at 0.019 states/eV/atom.

Cell lengths 4.0631, 4.0631, 4.4824 Å; angles 90.00, 90.00, 90.00 degrees
With the nearest neighbours (Å) after each atom.
Space group P4/mmm (No. 123)
One atom of each set of equivalent atoms:
Rb 0.0000 0.0000 0.0000 [1 per cell]  4 Zn 2.87, 8 O 3.02
Zn 0.5000 0.5000 0.0000 [1 per cell]  2 P 2.24
P 0.5000 0.5000 0.5000 [1 per cell]  4 O 2.03, 2 Zn 2.24
O 0.0000 0.5000 0.5000 [2 per cell]  2 P 2.03